## Ge2BiIr (GGA-PBE)

Data for a geometry-optimized Ge2BiIr structure.

## Properties
Space group ... F-43m
Calculated total energy ... -5.14 eV/atom
Total magnetization ... 0.00 μB per formula unit

Cell: 4.8247 4.8247 4.8247 Å, 60.00 60.00 60.00°
With the nearest neighbours (Å) after each atom.
Positions (direct):
Ge  0.0000  0.0000  0.0000  4 Ir 2.95, 4 Ge 2.95
Ge  0.2500  0.2500  0.2500  4 Bi 2.95, 4 Ge 2.95
Bi  0.5000  0.5000  0.5000  4 Ge 2.95, 4 Ir 2.95
Ir  0.7500  0.7500  0.7500  4 Bi 2.95, 4 Ge 2.95

## PrGeBiIr2 (GGA-PBE)

Data for a geometry-optimized PrGeBiIr2 structure.

## Properties
Space group ... P4/nmm
Calculated total energy ... -6.74 eV/atom
Total magnetization ... 0.00 μB per formula unit

Cell: 4.3360 4.3360 11.3159 Å, 90.00 90.00 90.00°
With the nearest neighbours (Å) after each atom.
Positions (direct):
Pr  0.2500  0.2500  0.2264  8 Ir 3.28-3.36, 4 Ge 3.31
Pr  0.7500  0.7500  0.7736  8 Ir 3.28-3.36, 4 Ge 3.31
Ge  0.2500  0.2500  0.8829  5 Ir 2.40-2.54
Ge  0.7500  0.7500  0.1171  5 Ir 2.40-2.54
Bi  0.2500  0.7500  0.5000  4 Ir 2.90, 4 Bi 3.07
Bi  0.7500  0.2500  0.5000  4 Ir 2.90, 4 Bi 3.07
Ir  0.2500  0.2500  0.6704  1 Ge 2.40
Ir  0.2500  0.7500  0.0000  4 Ge 2.54
Ir  0.7500  0.2500  0.0000  4 Ge 2.54
Ir  0.7500  0.7500  0.3296  1 Ge 2.40

## La2GeBiPd2 (GGA-PBE)

Data for a geometry-optimized La2GeBiPd2 structure.

## Properties
Space group ... P-6m2
Calculated total energy ... -5.71 eV/atom
Total magnetization ... 0.04 μB per formula unit

Cell: 4.5935 4.5935 8.3076 Å, 90.00 90.00 120.00°
With the nearest neighbours (Å) after each atom.
Positions (direct):
La  0.0000  0.0000  0.2326  6 Pd 3.28-3.46, 3 Ge 3.28, 3 Bi 3.46
La  0.0000  0.0000  0.7674  6 Pd 3.28-3.46, 3 Ge 3.28, 3 Bi 3.46
Ge  0.3333  0.6667  0.0000  3 Pd 2.65
Bi  0.6667  0.3333  0.5000  3 Pd 2.65
Pd  0.3333  0.6667  0.5000  3 Bi 2.65
Pd  0.6667  0.3333  0.0000  3 Ge 2.65

## LiGeBiOs (GGA-PBE)

Data for a geometry-optimized LiGeBiOs structure.

## Properties
Space group ... F-43m
Calculated total energy ... -4.91 eV/atom
Total magnetization ... 0.00 μB per formula unit
Energy relative to the lowest polymorph listed for this composition ... 0.354 eV per atom

Cell: 4.6659 4.6659 4.6659 Å, 60.00 60.00 60.00°
With the nearest neighbours (Å) after each atom.
Positions (direct):
Li  0.0000  0.0000  0.0000  4 Os 2.86, 4 Bi 2.86
Ge  0.5000  0.5000  0.5000  4 Os 2.86, 4 Bi 2.86
Bi  0.2500  0.2500  0.2500  4 Ge 2.86, 4 Li 2.86
Os  0.7500  0.7500  0.7500  4 Li 2.86, 4 Ge 2.86